1.
A relaxed KNaTa2Al crystal, computed with GGA-PBE.

Values from the calculation:
Final energy   -18.4 eV per cell
Symmetry   P4/mmm, No. 123
Crystal system   tetragonal
Total magnetic moment   0.00 μB/atom
Calculated formation energy   1105 kJ/mol of formula units

abc: 5.0163 5.0163 4.8750
angles: 90.00 90.00 90.00
Element x y z (fractional)
1 K 0.0000 0.0000 0.0000
2 Na 0.0000 0.0000 0.5000
3 Ta 0.0000 0.5000 0.5000
4 Ta 0.5000 0.0000 0.5000
5 Al 0.5000 0.5000 0.0000

---

2.
A relaxed KNa2AlW crystal, computed with GGA-PBE.

Values from the calculation:
Final energy   -10.6 eV per cell
Symmetry   P4/mmm, No. 123
Crystal system   tetragonal
Total magnetic moment   0.01 μB/atom
Calculated formation energy   948 kJ/mol of formula units

abc: 4.7848 4.7848 5.4048
angles: 90.00 90.00 90.00
Element x y z (fractional)
1 K 0.0000 0.0000 0.0000
2 Na 0.0000 0.5000 0.0000
3 Na 0.5000 0.0000 0.0000
4 Al 0.5000 0.5000 0.5000
5 W 0.0000 0.0000 0.5000